# 1
{
  "formula": "DyAlZn2Ga",
  "functional": "PBE",
  "state": "optimized geometry",
  "cell": [[-1.405, 0.533, -3.892], [-3.134, -4.308, 2.778], [-5.607, 5.906, 2.834]],
  "species": ["Al", "Al", "Dy", "Dy", "Zn", "Zn", "Zn", "Zn", "Ga", "Ga"],
  "fractional_positions": [[0.485, 0.970, 0.250], [0.515, 0.030, 0.750], [0.802, 0.604, 0.750], [0.198, 0.396, 0.250], [0.349, 0.699, 0.984], [0.651, 0.301, 0.484], [0.349, 0.699, 0.516], [0.651, 0.301, 0.016], [0.000, 0.000, 0.500], [0.000, 0.000, 0.000]],
  "crystal_system": "orthorhombic",
  "m_tot_mub_per_fu": 0.0,
  "dft_energy_ev_per_atom": -2.93,
  "space_group": "Cmcm (63)",
  "volume_a3_per_atom": 20.3
}


# 2
{
  "formula": "DyAlZnGa",
  "functional": "PBE",
  "state": "optimized geometry",
  "cell": [[-3.947, -0.368, -2.643], [-3.831, -2.237, 1.738], [-3.889, 2.492, 1.166]],
  "species": ["Zn", "Dy", "Ga", "Al"],
  "fractional_positions": [[0.000, 0.000, 0.000], [0.750, 0.750, 0.750], [0.500, 0.500, 0.500], [0.250, 0.250, 0.250]],
  "crystal_system": "cubic",
  "m_tot_mub_per_fu": 0.0,
  "dft_energy_ev_per_atom": -3.42,
  "space_group": "F-43m (216)",
  "volume_a3_per_atom": 19.1
}


# 3
{
  "formula": "Dy4AlZn2Ga",
  "functional": "PBE",
  "state": "optimized geometry",
  "cell": [[5.058, 0.000, 0.000], [2.529, 4.380, 0.000], [2.529, 1.460, 8.274]],
  "species": ["Dy", "Dy", "Dy", "Dy", "Al", "Zn", "Zn", "Ga"],
  "fractional_positions": [[0.624, 0.624, 0.129], [0.376, 0.376, 0.871], [0.874, 0.874, 0.378], [0.126, 0.126, 0.622], [0.000, 0.000, 0.000], [0.747, 0.747, 0.759], [0.253, 0.253, 0.241], [0.500, 0.500, 0.500]],
  "crystal_system": "trigonal",
  "m_tot_mub_per_fu": 0.0,
  "dft_energy_ev_per_atom": -3.90,
  "space_group": "R-3m (166)",
  "volume_a3_per_atom": 22.9
}


# 4
{
  "formula": "Dy2Al3Zn4Ga",
  "functional": "PBE",
  "state": "optimized geometry",
  "cell": [[-3.205, 1.651, 2.069], [-2.302, -0.135, -3.458], [-3.370, -9.834, 2.628]],
  "species": ["Al", "Al", "Al", "Zn", "Zn", "Zn", "Zn", "Ga", "Dy", "Dy"],
  "fractional_positions": [[0.000, 0.500, 0.135], [0.000, 0.000, 0.500], [0.500, 0.000, 0.865], [0.000, 0.500, 0.360], [0.500, 0.000, 0.640], [0.000, 0.000, 0.000], [0.500, 0.500, 0.000], [0.500, 0.500, 0.500], [0.000, 0.500, 0.752], [0.500, 0.000, 0.248]],
  "crystal_system": "tetragonal",
  "m_tot_mub_per_fu": 0.0,
  "dft_energy_ev_per_atom": -3.23,
  "space_group": "P-4m2 (115)",
  "volume_a3_per_atom": 18.5
}


# 5
{
  "formula": "Dy2AlZn4Ga3",
  "functional": "PBE",
  "state": "optimized geometry",
  "cell": [[-1.248, 3.519, -1.757], [0.147, -1.801, -3.710], [-10.242, -3.087, 1.093]],
  "species": ["Zn", "Zn", "Zn", "Zn", "Al", "Ga", "Ga", "Ga", "Dy", "Dy"],
  "fractional_positions": [[0.500, 0.500, 0.000], [0.500, 0.000, 0.641], [0.000, 0.500, 0.359], [0.000, 0.000, 0.000], [0.500, 0.500, 0.500], [0.500, 0.000, 0.863], [0.000, 0.500, 0.137], [0.000, 0.000, 0.500], [0.000, 0.500, 0.752], [0.500, 0.000, 0.248]],
  "crystal_system": "tetragonal",
  "m_tot_mub_per_fu": 0.0,
  "dft_energy_ev_per_atom": -3.13,
  "space_group": "P-4m2 (115)",
  "volume_a3_per_atom": 18.3
}


# 6
{
  "formula": "DyAlZnGa",
  "functional": "PBE",
  "state": "optimized geometry",
  "cell": [[3.374, 0.000, 0.000], [0.000, 5.133, 0.000], [0.000, 0.000, 5.019]],
  "species": ["Zn", "Dy", "Ga", "Al"],
  "fractional_positions": [[0.000, 0.000, 0.500], [0.500, 0.500, 0.500], [0.000, 0.500, 0.000], [0.000, 0.000, 0.000]],
  "crystal_system": "orthorhombic",
  "m_tot_mub_per_fu": 0.0,
  "dft_energy_ev_per_atom": -3.21,
  "space_group": "Pmmm (47)",
  "volume_a3_per_atom": 21.7
}


# 7
{
  "formula": "DyZrAlGa",
  "functional": "PBE",
  "state": "optimized geometry",
  "cell": [[-1.920, 2.970, 3.428], [-4.494, -0.901, 1.802], [-0.522, -1.597, 4.630]],
  "species": ["Ga", "Dy", "Zr", "Al"],
  "fractional_positions": [[0.750, 0.750, 0.750], [0.500, 0.500, 0.500], [0.000, 0.000, 0.000], [0.250, 0.250, 0.250]],
  "crystal_system": "cubic",
  "m_tot_mub_per_fu": 0.0,
  "dft_energy_ev_per_atom": -5.34,
  "space_group": "F-43m (216)",
  "volume_a3_per_atom": 21.1
}


# 8
{
  "formula": "Gd2DyAl",
  "functional": "PBE",
  "state": "optimized geometry",
  "cell": [[-2.931, 1.913, -0.308], [-0.893, -1.828, -2.864], [-4.477, -6.017, 5.237]],
  "species": ["Al", "Gd", "Gd", "Dy"],
  "fractional_positions": [[0.500, 0.500, 0.000], [0.000, 0.000, 0.216], [0.000, 0.000, 0.784], [0.500, 0.500, 0.500]],
  "crystal_system": "tetragonal",
  "m_tot_mub_per_fu": 14.4,
  "dft_energy_ev_per_atom": -9.30,
  "space_group": "P4/mmm (123)",
  "volume_a3_per_atom": 28.2
}


# 9
{
  "formula": "Gd2DyAl",
  "functional": "PBE",
  "state": "optimized geometry",
  "cell": [[4.819, 0.000, 0.000], [0.000, 4.761, 0.000], [0.000, 0.000, 4.761]],
  "species": ["Dy", "Gd", "Gd", "Al"],
  "fractional_positions": [[0.500, 0.500, 0.500], [0.000, 0.500, 0.000], [0.000, 0.000, 0.500], [0.500, 0.000, 0.000]],
  "crystal_system": "tetragonal",
  "m_tot_mub_per_fu": 15.3,
  "dft_energy_ev_per_atom": -9.32,
  "space_group": "P4/mmm (123)",
  "volume_a3_per_atom": 27.3
}


# 10
{
  "formula": "Gd2DyAl",
  "functional": "PBE",
  "state": "optimized geometry",
  "cell": [[5.368, 0.000, 0.000], [2.684, 4.649, 0.000], [2.684, 1.550, 4.383]],
  "species": ["Gd", "Gd", "Al", "Dy"],
  "fractional_positions": [[0.250, 0.250, 0.250], [0.750, 0.750, 0.750], [0.500, 0.500, 0.500], [0.000, 0.000, 0.000]],
  "crystal_system": "cubic",
  "m_tot_mub_per_fu": 15.4,
  "dft_energy_ev_per_atom": -9.20,
  "space_group": "Fm-3m (225)",
  "volume_a3_per_atom": 27.3
}


# 11
{
  "formula": "GdDyAl4",
  "functional": "PBE",
  "state": "optimized geometry",
  "cell": [[-2.247, 3.841, -3.360], [-5.264, -0.564, -1.751], [-3.961, 3.418, 1.929]],
  "species": ["Al", "Al", "Al", "Al", "Gd", "Dy"],
  "fractional_positions": [[0.125, 0.625, 0.625], [0.625, 0.625, 0.125], [0.625, 0.625, 0.625], [0.625, 0.125, 0.625], [0.000, 0.000, 0.000], [0.250, 0.250, 0.250]],
  "crystal_system": "cubic",
  "m_tot_mub_per_fu": 7.5,
  "dft_energy_ev_per_atom": -6.14,
  "space_group": "F-43m (216)",
  "volume_a3_per_atom": 20.4
}


# 12
{
  "formula": "GdDyAlHg",
  "functional": "PBE",
  "state": "optimized geometry",
  "cell": [[5.231, 0.000, 0.000], [2.616, 4.530, 0.000], [2.616, 1.510, 4.271]],
  "species": ["Dy", "Gd", "Al", "Hg"],
  "fractional_positions": [[0.000, 0.000, 0.000], [0.500, 0.500, 0.500], [0.250, 0.250, 0.250], [0.750, 0.750, 0.750]],
  "crystal_system": "cubic",
  "m_tot_mub_per_fu": 7.7,
  "dft_energy_ev_per_atom": -6.09,
  "space_group": "F-43m (216)",
  "volume_a3_per_atom": 25.3
}


# 13
{
  "formula": "GdDyAlIn",
  "functional": "PBE",
  "state": "optimized geometry",
  "cell": [[5.234, 0.000, 0.000], [2.617, 4.532, 0.000], [2.617, 1.511, 4.273]],
  "species": ["Dy", "Gd", "Al", "In"],
  "fractional_positions": [[0.000, 0.000, 0.000], [0.500, 0.500, 0.500], [0.250, 0.250, 0.250], [0.750, 0.750, 0.750]],
  "crystal_system": "cubic",
  "m_tot_mub_per_fu": 7.2,
  "dft_energy_ev_per_atom": -6.71,
  "space_group": "F-43m (216)",
  "volume_a3_per_atom": 25.3
}


# 14
{
  "formula": "GdDyAlIr",
  "functional": "PBE",
  "state": "optimized geometry",
  "cell": [[4.994, 0.000, 0.000], [2.497, 4.325, 0.000], [2.497, 1.442, 4.078]],
  "species": ["Gd", "Dy", "Ir", "Al"],
  "fractional_positions": [[0.000, 0.000, 0.000], [0.500, 0.500, 0.500], [0.750, 0.750, 0.750], [0.250, 0.250, 0.250]],
  "crystal_system": "cubic",
  "m_tot_mub_per_fu": 7.1,
  "dft_energy_ev_per_atom": -8.36,
  "space_group": "F-43m (216)",
  "volume_a3_per_atom": 22.0
}


# 15
{
  "formula": "LiGdDyAl",
  "functional": "PBE",
  "state": "optimized geometry",
  "cell": [[-1.958, 4.786, -0.262], [-4.746, 0.754, -1.928], [-3.879, 1.386, 3.138]],
  "species": ["Al", "Dy", "Li", "Gd"],
  "fractional_positions": [[0.500, 0.500, 0.500], [0.750, 0.750, 0.750], [0.000, 0.000, 0.000], [0.250, 0.250, 0.250]],
  "crystal_system": "cubic",
  "m_tot_mub_per_fu": 7.5,
  "dft_energy_ev_per_atom": -6.29,
  "space_group": "F-43m (216)",
  "volume_a3_per_atom": 24.5
}


# 16
{
  "formula": "GdDyMgAl",
  "functional": "PBE",
  "state": "optimized geometry",
  "cell": [[5.222, 0.000, 0.000], [2.611, 4.522, 0.000], [2.611, 1.507, 4.264]],
  "species": ["Al", "Gd", "Dy", "Mg"],
  "fractional_positions": [[0.500, 0.500, 0.500], [0.750, 0.750, 0.750], [0.250, 0.250, 0.250], [0.000, 0.000, 0.000]],
  "crystal_system": "cubic",
  "m_tot_mub_per_fu": 7.3,
  "dft_energy_ev_per_atom": -6.28,
  "space_group": "F-43m (216)",
  "volume_a3_per_atom": 25.2
}


# 17
{
  "formula": "NaGdDyAl",
  "functional": "PBE",
  "state": "optimized geometry",
  "cell": [[5.299, 0.000, 0.000], [2.649, 4.589, 0.000], [2.649, 1.530, 4.326]],
  "species": ["Dy", "Al", "Gd", "Na"],
  "fractional_positions": [[0.500, 0.500, 0.500], [0.250, 0.250, 0.250], [0.000, 0.000, 0.000], [0.750, 0.750, 0.750]],
  "crystal_system": "cubic",
  "m_tot_mub_per_fu": 7.6,
  "dft_energy_ev_per_atom": -5.98,
  "space_group": "F-43m (216)",
  "volume_a3_per_atom": 26.3
}


# 18
{
  "formula": "NdGdDyAl",
  "functional": "PBE",
  "state": "optimized geometry",
  "cell": [[5.411, 0.000, 0.000], [2.705, 4.686, 0.000], [2.705, 1.562, 4.418]],
  "species": ["Dy", "Al", "Gd", "Nd"],
  "fractional_positions": [[0.000, 0.000, 0.000], [0.250, 0.250, 0.250], [0.750, 0.750, 0.750], [0.500, 0.500, 0.500]],
  "crystal_system": "cubic",
  "m_tot_mub_per_fu": 8.1,
  "dft_energy_ev_per_atom": -6.86,
  "space_group": "F-43m (216)",
  "volume_a3_per_atom": 28.0
}


# 19
{
  "formula": "GdDyAlNi",
  "functional": "PBE",
  "state": "optimized geometry",
  "cell": [[4.994, 0.000, 0.000], [2.497, 4.325, 0.000], [2.497, 1.442, 4.078]],
  "species": ["Al", "Dy", "Ni", "Gd"],
  "fractional_positions": [[0.250, 0.250, 0.250], [0.500, 0.500, 0.500], [0.750, 0.750, 0.750], [0.000, 0.000, 0.000]],
  "crystal_system": "cubic",
  "m_tot_mub_per_fu": 7.1,
  "dft_energy_ev_per_atom": -7.35,
  "space_group": "F-43m (216)",
  "volume_a3_per_atom": 22.0
}


# 20
{
  "formula": "PrGdDyAl",
  "functional": "PBE",
  "state": "optimized geometry",
  "cell": [[-1.693, -5.061, 1.033], [2.302, -2.873, 3.998], [-2.792, -1.058, 4.542]],
  "species": ["Pr", "Gd", "Dy", "Al"],
  "fractional_positions": [[0.000, 0.000, 0.000], [0.500, 0.500, 0.500], [0.750, 0.750, 0.750], [0.250, 0.250, 0.250]],
  "crystal_system": "cubic",
  "m_tot_mub_per_fu": 8.2,
  "dft_energy_ev_per_atom": -6.87,
  "space_group": "F-43m (216)",
  "volume_a3_per_atom": 28.4
}


# 21
{
  "formula": "GdDyAlPt",
  "functional": "PBE",
  "state": "optimized geometry",
  "cell": [[-3.437, -1.665, -3.309], [1.363, -3.204, -3.663], [-1.532, -4.813, 0.154]],
  "species": ["Pt", "Gd", "Al", "Dy"],
  "fractional_positions": [[0.500, 0.500, 0.500], [0.750, 0.750, 0.750], [0.000, 0.000, 0.000], [0.250, 0.250, 0.250]],
  "crystal_system": "cubic",
  "m_tot_mub_per_fu": 7.1,
  "dft_energy_ev_per_atom": -7.83,
  "space_group": "F-43m (216)",
  "volume_a3_per_atom": 22.8
}


# 22
{
  "formula": "GdDyAlRh",
  "functional": "PBE",
  "state": "optimized geometry",
  "cell": [[5.014, 0.000, 0.000], [2.507, 4.342, 0.000], [2.507, 1.447, 4.094]],
  "species": ["Al", "Dy", "Gd", "Rh"],
  "fractional_positions": [[0.500, 0.500, 0.500], [0.750, 0.750, 0.750], [0.250, 0.250, 0.250], [0.000, 0.000, 0.000]],
  "crystal_system": "cubic",
  "m_tot_mub_per_fu": 7.1,
  "dft_energy_ev_per_atom": -7.98,
  "space_group": "F-43m (216)",
  "volume_a3_per_atom": 22.3
}


# 23
{
  "formula": "SmGdDyAl",
  "functional": "PBE",
  "state": "optimized geometry",
  "cell": [[5.394, 0.000, 0.000], [2.697, 4.671, 0.000], [2.697, 1.557, 4.404]],
  "species": ["Sm", "Dy", "Al", "Gd"],
  "fractional_positions": [[0.750, 0.750, 0.750], [0.000, 0.000, 0.000], [0.500, 0.500, 0.500], [0.250, 0.250, 0.250]],
  "crystal_system": "cubic",
  "m_tot_mub_per_fu": 8.1,
  "dft_energy_ev_per_atom": -6.85,
  "space_group": "F-43m (216)",
  "volume_a3_per_atom": 27.7
}


# 24
{
  "formula": "GdDyAlSn",
  "functional": "PBE",
  "state": "optimized geometry",
  "cell": [[5.253, 0.000, 0.000], [2.626, 4.549, 0.000], [2.626, 1.516, 4.289]],
  "species": ["Gd", "Sn", "Dy", "Al"],
  "fractional_positions": [[0.500, 0.500, 0.500], [0.750, 0.750, 0.750], [0.000, 0.000, 0.000], [0.250, 0.250, 0.250]],
  "crystal_system": "cubic",
  "m_tot_mub_per_fu": 6.9,
  "dft_energy_ev_per_atom": -7.07,
  "space_group": "F-43m (216)",
  "volume_a3_per_atom": 25.6
}


# 25
{
  "formula": "TbGdDyAl",
  "functional": "PBE",
  "state": "optimized geometry",
  "cell": [[5.362, 0.000, 0.000], [2.681, 4.643, 0.000], [2.681, 1.548, 4.378]],
  "species": ["Gd", "Al", "Tb", "Dy"],
  "fractional_positions": [[0.250, 0.250, 0.250], [0.500, 0.500, 0.500], [0.750, 0.750, 0.750], [0.000, 0.000, 0.000]],
  "crystal_system": "cubic",
  "m_tot_mub_per_fu": 8.1,
  "dft_energy_ev_per_atom": -6.83,
  "space_group": "F-43m (216)",
  "volume_a3_per_atom": 27.2
}


# 26
{
  "formula": "GdDyAlTl",
  "functional": "PBE",
  "state": "optimized geometry",
  "cell": [[5.267, 0.000, 0.000], [2.634, 4.562, 0.000], [2.634, 1.521, 4.301]],
  "species": ["Tl", "Dy", "Al", "Gd"],
  "fractional_positions": [[0.000, 0.000, 0.000], [0.750, 0.750, 0.750], [0.500, 0.500, 0.500], [0.250, 0.250, 0.250]],
  "crystal_system": "cubic",
  "m_tot_mub_per_fu": 7.2,
  "dft_energy_ev_per_atom": -6.54,
  "space_group": "F-43m (216)",
  "volume_a3_per_atom": 25.8
}


# 27
{
  "formula": "GdDyTmAl",
  "functional": "PBE",
  "state": "optimized geometry",
  "cell": [[5.329, 0.000, 0.000], [2.664, 4.615, 0.000], [2.664, 1.538, 4.351]],
  "species": ["Al", "Dy", "Gd", "Tm"],
  "fractional_positions": [[0.250, 0.250, 0.250], [0.000, 0.000, 0.000], [0.500, 0.500, 0.500], [0.750, 0.750, 0.750]],
  "crystal_system": "cubic",
  "m_tot_mub_per_fu": 7.9,
  "dft_energy_ev_per_atom": -6.81,
  "space_group": "F-43m (216)",
  "volume_a3_per_atom": 26.7
}


# 28
{
  "formula": "DyAl3Ge3",
  "functional": "PBE",
  "state": "optimized geometry",
  "cell": [[-2.068, 3.191, 1.341], [-7.433, -2.105, -6.454], [-0.101, -3.955, 9.256]],
  "species": ["Al", "Al", "Al", "Al", "Al", "Al", "Ge", "Ge", "Ge", "Ge", "Ge", "Ge", "Dy", "Dy"],
  "fractional_positions": [[0.250, 0.586, 0.948], [0.750, 0.414, 0.052], [0.750, 0.948, 0.363], [0.250, 0.363, 0.414], [0.250, 0.052, 0.637], [0.750, 0.637, 0.586], [0.750, 0.887, 0.587], [0.750, 0.699, 0.113], [0.250, 0.113, 0.413], [0.250, 0.587, 0.699], [0.250, 0.301, 0.887], [0.750, 0.413, 0.301], [0.750, 0.333, 0.667], [0.250, 0.667, 0.333]],
  "crystal_system": "hexagonal",
  "m_tot_mub_per_fu": 0.0,
  "dft_energy_ev_per_atom": -4.41,
  "space_group": "P6_3/m (176)",
  "volume_a3_per_atom": 25.3
}